VASP calculation (PBE) on RbBa3 after structural relaxation.

abc: 4.828 7.516 7.525
angles: 90.00 90.00 90.00
Space group Pmm2 (No. 25)
Unique sites:
1 Rb 0.000 0.000 0.000 (multiplicity 1)
2 Ba 0.000 0.500 0.477 (multiplicity 1)
3 Ba 0.500 0.000 0.500 (multiplicity 1)
4 Ba 0.500 0.500 0.975 (multiplicity 1)

Computed properties:
energy above the lowest structure with this stoichiometry = 48 meV per atom
size of the total moment = 0.0 μB per formula unit
calculated volume = 273.03 Å³ per cell
final energy = -1.571 eV/atom